Computed, not measured: crystalline LaPmDy2 at its relaxed geometry at the PBE level of DFT.

a = 3.6394 Å, b = 3.6394 Å, c = 35.1169 Å
α = 90.00°, β = 90.00°, γ = 120.00°
Last column: nearest neighbours and their distance in Å.
Space group R3m (No. 160, hexagonal axes)
One atom of each set of equivalent atoms:
La 0.0000 0.0000 0.0000 x3  6 Dy 3.62, 6 La 3.64
Pm 0.0000 0.0000 0.8340 x3  6 Dy 3.57-3.61, 6 Pm 3.64
Dy 0.0000 0.0000 0.4171 x3  3 Pm 3.61, 3 La 3.62, 6 Dy 3.64
Dy 0.0000 0.0000 0.5828 x3  3 Pm 3.57, 3 La 3.62, 6 Dy 3.64

Results
ΔE_f = 0.0162 eV per atom
Excess energy over the best structure of this formula in the dataset = 3 meV/atom
Crystal system = trigonal
E_tot = -56.45 eV/cell